(1)
The following is a GGA-PBE calculation of a geometry-optimized MgCuPt2 structure, from Alexandria via LeMat-Bulk.

Output
SG: I-42d (122)
Formation energy from the elements (kcal/mol of atoms): -3.74

Lattice parameters (Å, degrees): 9.299 9.299 9.299 155.97 155.97 34.25
Sites, in units of the cell vectors:
Mg 0.000 0.000 0.000
Mg 0.750 0.250 0.500
Cu 0.250 0.750 0.500
Cu 0.500 0.500 0.000
Pt 0.137 0.625 0.012
Pt 0.375 0.387 0.512
Pt 0.613 0.125 0.988
Pt 0.875 0.863 0.488

---

(2)
The following is a GGA-PBE calculation of a geometry-optimized BaNiTe2I structure, from Alexandria via LeMat-Bulk.

Output
SG: P4/mmm (123)

Lattice parameters (Å, degrees): 5.232 5.232 5.596 90.00 90.00 90.00
Sites, in units of the cell vectors:
Ba 0.000 0.000 0.000
Ni 0.500 0.500 0.500
Te 0.000 0.500 0.500
Te 0.500 0.000 0.500
I 0.500 0.500 0.000

---

(3)
The following is a GGA-PBE calculation of a geometry-optimized Pr2DyCu3 structure, from Alexandria via LeMat-Bulk.

Output
Energy relative to the lowest polymorph listed for this composition (eV per formula unit): 0.00
SG: P4/mmm (123)
Formation energy from the elements (kcal/mol of atoms): -3.80

Lattice parameters (Å, degrees): 3.552 3.552 10.804 90.00 90.00 90.00
Sites, in units of the cell vectors:
Pr 0.000 0.000 0.171
Pr 0.000 0.000 0.829
Dy 0.000 0.000 0.500
Cu 0.500 0.500 0.000
Cu 0.500 0.500 0.351
Cu 0.500 0.500 0.649

---

(4)
The following is a GGA-PBE calculation of a geometry-optimized CeMg2Br6 structure, from Alexandria via LeMat-Bulk.

Output
SG: C2/m (12)

Lattice parameters (Å, degrees): 7.415 7.415 11.613 96.19 96.19 31.60
Sites, in units of the cell vectors:
Ce 0.000 0.000 0.000
Mg 0.284 0.284 0.278
Mg 0.716 0.716 0.722
Br 0.109 0.109 0.236
Br 0.154 0.154 0.607
Br 0.362 0.362 0.088
Br 0.638 0.638 0.912
Br 0.846 0.846 0.393
Br 0.891 0.891 0.764

---

(5)
The following is a GGA-PBE calculation of a geometry-optimized BaBiF6 structure, from Alexandria via LeMat-Bulk.

Output
SG: R-3m (166)

Lattice parameters (Å, degrees): 5.203 5.203 5.203 97.15 97.15 97.15
Sites, in units of the cell vectors:
Ba 0.000 0.000 0.000
Bi 0.500 0.500 0.500
F 0.198 0.198 0.564
F 0.198 0.564 0.198
F 0.436 0.802 0.802
F 0.564 0.198 0.198
F 0.802 0.436 0.802
F 0.802 0.802 0.436

---

(6)
The following is a GGA-PBE calculation of a geometry-optimized Dy2ScPaBi4 structure, from Alexandria via LeMat-Bulk.

Output
SG: P2/m (10)
Formation energy from the elements (kcal/mol of atoms): -13.67

Lattice parameters (Å, degrees): 7.659 4.425 7.693 90.00 109.27 90.00
Sites, in units of the cell vectors:
Dy 0.000 0.000 0.000
Dy 0.500 0.500 0.000
Sc 0.000 0.500 0.500
Pa 0.500 0.000 0.500
Bi 0.240 0.000 0.741
Bi 0.243 0.500 0.253
Bi 0.757 0.500 0.747
Bi 0.760 0.000 0.259

---

Number 1: uncorrected energy -0.3385 Ry/atom. Number 2: uncorrected energy -0.2779 Ry/atom. Number 3: uncorrected energy -0.3361 Ry/atom. Number 4: uncorrected energy -0.2622 Ry/atom. Number 5: uncorrected energy -0.3589 Ry/atom. Number 6: uncorrected energy -0.4162 Ry/atom.